Entry 1:
The following is a GGA-PBE calculation of an optimized crystal structure of LiTl2Sn2Se4, from Alexandria via LeMat-Bulk.

## Properties
The calculation puts the theoretical density at 6.35 g/cm3. Its calculated total energy is -33.0 eV for the cell shown.

Geometry as POSCAR:
```
LiTl2Sn2Se4
1.0
8.6408 -1.9711 0.0000
8.6408 1.9711 0.0000
-3.9511 0.0000 7.4383
Li Tl Sn Se
1 2 2 4
direct
0.0000 0.0000 0.0000 Li
0.1054 0.1054 0.6782 Tl
0.8946 0.8946 0.3218 Tl
0.3113 0.3113 0.6688 Sn
0.6887 0.6887 0.3312 Sn
0.1849 0.1849 0.1109 Se
0.4715 0.4715 0.7207 Se
0.5285 0.5285 0.2793 Se
0.8151 0.8151 0.8891 Se
```

***

Entry 2:
The following is a GGA-PBE calculation of an optimized crystal structure of SmDy3Pu2S6, from Alexandria via LeMat-Bulk.

## Properties
The calculation puts the theoretical density at 8.44 g/cm3. Its calculated total energy is -95.3 eV for the cell shown.

Geometry as POSCAR:
```
SmDy3Pu2S6
1.0
3.4031 -5.8976 0.0000
3.4031 5.8976 0.0000
-2.2659 0.0000 6.4641
Sm Dy Pu S
1 3 2 6
direct
0.0000 0.0000 0.0000 Sm
0.1656 0.8344 0.5000 Dy
0.5000 0.5000 0.5000 Dy
0.8344 0.1656 0.5000 Dy
0.3332 0.6668 0.0000 Pu
0.6668 0.3332 0.0000 Pu
0.0854 0.4221 0.2557 S
0.2516 0.2516 0.7443 S
0.4221 0.0854 0.2557 S
0.5779 0.9146 0.7443 S
0.7484 0.7484 0.2557 S
0.9146 0.5779 0.7443 S
```